First-principles (PBE) data for a geometry-optimized Tc4OsRh structure, as listed in Alexandria.

For the energy relative to the lowest polymorph listed for this composition, the calculation gives 0.000 eV/atom. The calculation puts the total magnetization at 0.000 μB per atom. The calculated formation energy is 9.0 kJ per mole of atoms.

It has space group Imma (No. 74), with a = 4.323 Å, b = 10.857 Å, c = 7.517 Å, α = 90.00°, β = 90.00° and γ = 90.00°. The asymmetric unit holds Tc at (0.000, 0.001, 0.167), Tc at (0.000, 0.128, 0.507), Os at (0.000, 0.250, 0.833) and Rh at (0.000, 0.250, 0.165).